Record 1
The following is a GGA-PBE calculation of a geometry-optimized AlRePb2 structure, from the Alexandria database.

```
data_AlRePb2
_cell_length_a 4.4645
_cell_length_b 4.4645
_cell_length_c 8.5668
_cell_angle_alpha 90.00
_cell_angle_beta 90.00
_cell_angle_gamma 90.00
_space_group_name_H-M_alt 'I -4 m 2'
_space_group_IT_number 119
_space_group_name_Hall 'I -4 -2'
loop_
_atom_site_label
_atom_site_fract_x
_atom_site_fract_y
_atom_site_fract_z
_atom_site_occupancy
Al1 0.0000 0.0000 0.0000 1
Re1 0.0000 0.5000 0.2500 1
Pb1 0.0000 0.0000 0.5000 1
Pb2 0.0000 0.5000 0.7500 1
```

- Energy of formation from the pure elements: 3.83 eV per formula unit
- Calculated density: 12.2 g cm⁻³
- DFT total energy: -4.95 eV per atom

---

Record 2
The following is a GGA-PBE calculation of a geometry-optimized AlRe2Pb structure, from the Alexandria database.

```
data_AlRe2Pb
_cell_length_a 4.5186
_cell_length_b 4.5186
_cell_length_c 3.2772
_cell_angle_alpha 90.00
_cell_angle_beta 90.00
_cell_angle_gamma 90.00
_space_group_name_H-M_alt 'P 4/m m m'
_space_group_IT_number 123
_space_group_name_Hall '-P 4 2'
loop_
_atom_site_label
_atom_site_fract_x
_atom_site_fract_y
_atom_site_fract_z
_atom_site_occupancy
Al1 0.0000 0.0000 0.0000 1
Re1 0.0000 0.5000 0.5000 1
Pb1 0.5000 0.5000 0.0000 1
```

- Energy of formation from the pure elements: 3.18 eV per formula unit
- Calculated density: 15.1 g cm⁻³
- Energy above the most stable polymorph in this dataset: 0.568 eV per atom
- DFT total energy: -7.29 eV per atom

---

Record 3
The following is a GGA-PBE calculation of a geometry-optimized AlRePb2 structure, from the Alexandria database.

```
data_AlRePb2
_cell_length_a 6.0641
_cell_length_b 7.9357
_cell_length_c 3.5187
_cell_angle_alpha 90.00
_cell_angle_beta 90.00
_cell_angle_gamma 90.00
_space_group_name_H-M_alt 'C m m m'
_space_group_IT_number 65
_space_group_name_Hall '-C 2 2'
loop_
_atom_site_label
_atom_site_fract_x
_atom_site_fract_y
_atom_site_fract_z
_atom_site_occupancy
Al1 0.0000 0.0000 0.0000 1
Re1 0.0000 0.5000 0.0000 1
Pb1 0.2500 0.2500 0.5000 1
```

- Energy of formation from the pure elements: 3.70 eV per formula unit
- Calculated density: 12.3 g cm⁻³
- DFT total energy: -4.98 eV per atom

---

Record 4
The following is a GGA-PBE calculation of a geometry-optimized AlRe2Pb structure, from the Alexandria database.

```
data_AlRe2Pb
_cell_length_a 5.5454
_cell_length_b 7.9500
_cell_length_c 3.1157
_cell_angle_alpha 90.00
_cell_angle_beta 90.00
_cell_angle_gamma 90.00
_space_group_name_H-M_alt 'C m m m'
_space_group_IT_number 65
_space_group_name_Hall '-C 2 2'
loop_
_atom_site_label
_atom_site_fract_x
_atom_site_fract_y
_atom_site_fract_z
_atom_site_occupancy
Al1 0.0000 0.0000 0.0000 1
Re1 0.2500 0.2500 0.5000 1
Pb1 0.0000 0.5000 0.0000 1
```

- Energy of formation from the pure elements: 3.61 eV per formula unit
- Calculated density: 14.7 g cm⁻³
- Energy above the most stable polymorph in this dataset: 0.677 eV per atom
- DFT total energy: -7.18 eV per atom

---

Record 5
The following is a GGA-PBE calculation of a geometry-optimized AlRePb2 structure, from the Alexandria database.

```
data_AlRePb2
_cell_length_a 7.0301
_cell_length_b 7.0301
_cell_length_c 7.0301
_cell_angle_alpha 90.00
_cell_angle_beta 90.00
_cell_angle_gamma 90.00
_space_group_name_H-M_alt 'F -4 3 m'
_space_group_IT_number 216
_space_group_name_Hall 'F -4 2 3'
loop_
_atom_site_label
_atom_site_fract_x
_atom_site_fract_y
_atom_site_fract_z
_atom_site_occupancy
Al1 0.0000 0.0000 0.0000 1
Re1 0.2500 0.2500 0.7500 1
Pb1 0.0000 0.0000 0.5000 1
Pb2 0.2500 0.2500 0.2500 1
```

- Energy of formation from the pure elements: 3.88 eV per formula unit
- Calculated density: 12.0 g cm⁻³
- DFT total energy: -4.93 eV per atom

---

Record 6
The following is a GGA-PBE calculation of a geometry-optimized AlRe2Pb structure, from the Alexandria database.

```
data_AlRe2Pb
_cell_length_a 2.8893
_cell_length_b 4.7864
_cell_length_c 10.1218
_cell_angle_alpha 90.00
_cell_angle_beta 90.00
_cell_angle_gamma 90.00
_space_group_name_H-M_alt 'I m m m'
_space_group_IT_number 71
_space_group_name_Hall '-I 2 2'
loop_
_atom_site_label
_atom_site_fract_x
_atom_site_fract_y
_atom_site_fract_z
_atom_site_occupancy
Al1 0.0000 0.0000 0.0000 1
Re1 0.0000 0.5000 0.2833 1
Pb1 0.0000 0.0000 0.5000 1
```

- Energy of formation from the pure elements: 2.87 eV per formula unit
- Calculated density: 14.4 g cm⁻³
- Energy above the most stable polymorph in this dataset: 0.492 eV per atom
- DFT total energy: -7.37 eV per atom

---

Record 7
The following is a GGA-PBE calculation of a geometry-optimized AlRePb2 structure, from the Alexandria database.

```
data_AlRePb2
_cell_length_a 4.8841
_cell_length_b 4.8841
_cell_length_c 3.5452
_cell_angle_alpha 90.00
_cell_angle_beta 90.00
_cell_angle_gamma 90.00
_space_group_name_H-M_alt 'P 4/m m m'
_space_group_IT_number 123
_space_group_name_Hall '-P 4 2'
loop_
_atom_site_label
_atom_site_fract_x
_atom_site_fract_y
_atom_site_fract_z
_atom_site_occupancy
Al1 0.0000 0.0000 0.0000 1
Re1 0.5000 0.5000 0.0000 1
Pb1 0.0000 0.5000 0.5000 1
```

- Energy of formation from the pure elements: 3.77 eV per formula unit
- Calculated density: 12.3 g cm⁻³
- DFT total energy: -4.96 eV per atom

---

Record 8
The following is a GGA-PBE calculation of a geometry-optimized Al2RePb structure, from the Alexandria database.

```
data_Al2RePb
_cell_length_a 3.2247
_cell_length_b 3.2247
_cell_length_c 7.3624
_cell_angle_alpha 90.00
_cell_angle_beta 90.00
_cell_angle_gamma 90.00
_space_group_name_H-M_alt 'P 4/m m m'
_space_group_IT_number 123
_space_group_name_Hall '-P 4 2'
loop_
_atom_site_label
_atom_site_fract_x
_atom_site_fract_y
_atom_site_fract_z
_atom_site_occupancy
Al1 0.0000 0.0000 0.1774 1
Re1 0.5000 0.5000 0.0000 1
Pb1 0.5000 0.5000 0.5000 1
```

- Energy of formation from the pure elements: 0.53 eV per formula unit
- Calculated density: 9.7 g cm⁻³
- DFT total energy: -5.78 eV per atom